# RePPt2Rh, optimized geometry, DFT PBE
# ΔE_f in eV per atom: 1.895
data_RePPt2Rh
_chemical_formula_sum 'Re1 P1 Pt2 Rh1'
_cell_length_a 4.855
_cell_length_b 4.855
_cell_length_c 4.559
_cell_angle_alpha 90.00
_cell_angle_beta 90.00
_cell_angle_gamma 90.00
_space_group_name_H-M_alt 'P 4/m m m'
_space_group_IT_number 123
_space_group_name_Hall '-P 4 2'
loop_
_atom_site_label
_atom_site_fract_x
_atom_site_fract_y
_atom_site_fract_z
Re1 0.000 0.000 0.000
P1 0.500 0.500 0.000
Pt1 0.000 0.500 0.500
Rh1 0.000 0.000 0.500